# LaUAs2 (PBE, relaxed)
# - DOS at the Fermi energy: 14.546 states/eV per cell
# - Formation energy from the elements: -1.135 eV per atom
# - Crystal system: trigonal
# - E_tot: -7.514 eV/atom
data_LaUAs2
_cell_length_a 4.1799
_cell_length_b 4.1799
_cell_length_c 21.1367
_cell_angle_alpha 90.00
_cell_angle_beta 90.00
_cell_angle_gamma 120.00
_space_group_name_H-M_alt 'R -3 m'
_space_group_IT_number 166
_space_group_name_Hall '-R 3 2"'
loop_
_atom_site_label
_atom_site_type_symbol
_atom_site_fract_x
_atom_site_fract_y
_atom_site_fract_z
La1 La 0.0000 0.0000 0.0000
U1 U 0.0000 0.0000 0.5000
As1 As 0.0000 0.0000 0.2438



# LaU3As4 (PBE, relaxed)
# - DOS at the Fermi energy: 31.168 states/eV per cell
# - Formation energy from the elements: -0.910 eV per atom
# - Crystal system: orthorhombic
# - E_tot: -8.084 eV/atom
data_LaU3As4
_cell_length_a 8.4304
_cell_length_b 11.7650
_cell_length_c 4.1042
_cell_angle_alpha 90.00
_cell_angle_beta 90.00
_cell_angle_gamma 90.00
_space_group_name_H-M_alt 'C m m m'
_space_group_IT_number 65
_space_group_name_Hall '-C 2 2'
loop_
_atom_site_label
_atom_site_type_symbol
_atom_site_fract_x
_atom_site_fract_y
_atom_site_fract_z
La1 La 0.0000 0.0000 0.0000
U1 U 0.0000 0.5000 0.0000
U2 U 0.2500 0.2500 0.5000
As1 As 0.0000 0.2555 0.0000
As2 As 0.2381 0.5000 0.5000



Repeat the second record exactly.
# LaU3As4 (PBE, relaxed)
# - DOS at the Fermi energy: 31.168 states/eV per cell
# - Formation energy from the elements: -0.910 eV per atom
# - Crystal system: orthorhombic
# - E_tot: -8.084 eV/atom
data_LaU3As4
_cell_length_a 8.4304
_cell_length_b 11.7650
_cell_length_c 4.1042
_cell_angle_alpha 90.00
_cell_angle_beta 90.00
_cell_angle_gamma 90.00
_space_group_name_H-M_alt 'C m m m'
_space_group_IT_number 65
_space_group_name_Hall '-C 2 2'
loop_
_atom_site_label
_atom_site_type_symbol
_atom_site_fract_x
_atom_site_fract_y
_atom_site_fract_z
La1 La 0.0000 0.0000 0.0000
U1 U 0.0000 0.5000 0.0000
U2 U 0.2500 0.2500 0.5000
As1 As 0.0000 0.2555 0.0000
As2 As 0.2381 0.5000 0.5000